--- A ---
A plane-wave DFT calculation with PBE-GGA was carried out for crystalline NaMg5 at its relaxed geometry.

Properties
Crystal system   cubic
Size of the total moment   0.00 μB per cell
Symmetry   F-43m, No. 216

Geometry as CIF:
```
data_NaMg5
_chemical_formula_sum 'Na1 Mg5'
_cell_length_a 5.9986
_cell_length_b 5.9986
_cell_length_c 5.9986
_cell_angle_alpha 60.00
_cell_angle_beta 60.00
_cell_angle_gamma 60.00
_symmetry_space_group_name_H-M 'P 1'
_symmetry_Int_Tables_number 1
loop_
_symmetry_equiv_pos_as_xyz
'x,y,z'
loop_
_atom_site_label
_atom_site_type_symbol
_atom_site_fract_x
_atom_site_fract_y
_atom_site_fract_z
Na1 Na 0.0000 0.0000 0.0000
Mg1 Mg 0.1269 0.6244 0.6244
Mg2 Mg 0.2500 0.2500 0.2500
Mg3 Mg 0.6244 0.1269 0.6244
Mg4 Mg 0.6244 0.6244 0.1269
Mg5 Mg 0.6244 0.6244 0.6244
```



--- B ---
A plane-wave DFT calculation with PBE-GGA was carried out for crystalline NaMg5 at its relaxed geometry.

Properties
Crystal system   monoclinic
Size of the total moment   0.00 μB per cell
Symmetry   Cm, No. 8

Geometry as CIF:
```
data_NaMg5
_chemical_formula_sum 'Na1 Mg5'
_cell_length_a 6.2253
_cell_length_b 6.2253
_cell_length_c 7.7873
_cell_angle_alpha 103.67
_cell_angle_beta 103.67
_cell_angle_gamma 29.95
_symmetry_space_group_name_H-M 'P 1'
_symmetry_Int_Tables_number 1
loop_
_symmetry_equiv_pos_as_xyz
'x,y,z'
loop_
_atom_site_label
_atom_site_type_symbol
_atom_site_fract_x
_atom_site_fract_y
_atom_site_fract_z
Na1 Na 0.0000 0.0000 0.0000
Mg1 Mg 0.0532 0.0532 0.6103
Mg2 Mg 0.3253 0.3253 0.6578
Mg3 Mg 0.3814 0.3814 0.2827
Mg4 Mg 0.6671 0.6671 0.3411
Mg5 Mg 0.7272 0.7272 0.9431
```



Stability ranking, top entry: B; the second entry is 41 meV per atom less favorable.